! TaAu (GGA-PBE, relaxed); values from VASP
! V = 41 Å³/f.u.
! Magnetic moment = 0.00 μB/f.u.
! Raw total energy = -6.884 eV per atom
! Mass density = 15.3 g/cm3
! Formation energy from the elements = 681 meV/atom
! DOS(E_F) = 2.76 states/eV/f.u.
&SYSTEM
  ibrav = 0, nat = 4, ntyp = 2
/
ATOMIC_SPECIES
Au 196.97 Au.upf
Ta 180.95 Ta.upf
CELL_PARAMETERS angstrom
-0.2825 -3.8832 0.8304
3.5642 1.6340 -0.6892
0.5753 1.2057 5.8340
ATOMIC_POSITIONS crystal
Au 0.0000 0.0000 0.0000
Au 0.0000 0.0000 0.5000
Ta 0.3333 0.6667 0.2500
Ta 0.6667 0.3333 0.7500

! Y2Ho3Th (GGA-PBE, relaxed); values from VASP
! V = 191 Å³/f.u.
! Magnetic moment = 0.00 μB/f.u.
! Distance to the lowest polymorph of the same formula = 0 meV/atom
! Raw total energy = -5.642 eV per atom
! Mass density = 7.9 g/cm3
! Formation energy from the elements = 38 meV/atom
! DOS(E_F) = 9.25 states/eV/f.u.
&SYSTEM
  ibrav = 0, nat = 12, ntyp = 3
/
ATOMIC_SPECIES
Y 88.91 Y.upf
Ho 164.93 Ho.upf
Th 232.04 Th.upf
CELL_PARAMETERS angstrom
-1.9766 4.3057 1.7093
-5.8043 -0.5048 1.9800
-7.1263 -6.5700 15.7294
ATOMIC_POSITIONS crystal
Y 0.8756 0.3761 0.8728
Y 0.1244 0.6239 0.1272
Y 0.6281 0.1170 0.6267
Y 0.3719 0.8830 0.3733
Ho 0.1233 0.9621 0.7912
Ho 0.8767 0.0379 0.2088
Ho 0.6240 0.7947 0.9572
Ho 0.3760 0.2053 0.0428
Ho 0.8728 0.7110 0.5434
Ho 0.1272 0.2890 0.4566
Th 0.3768 0.5376 0.7088
Th 0.6232 0.4624 0.2912

! La3Pm8In (GGA-PBE, relaxed); values from VASP
! V = 443 Å³/f.u.
! Magnetic moment = 0.00 μB/f.u.
! Raw total energy = -4.227 eV per atom
! Mass density = 6.3 g/cm3
! Formation energy from the elements = 400 meV/atom
! DOS(E_F) = 18.05 states/eV/f.u.
&SYSTEM
  ibrav = 0, nat = 12, ntyp = 3
/
ATOMIC_SPECIES
La 138.91 La.upf
Pm 145.00 Pm.upf
In 114.82 In.upf
CELL_PARAMETERS angstrom
7.6310 -0.4992 -3.6305
-4.4634 7.0950 -1.1837
-0.3140 0.4992 8.4447
ATOMIC_POSITIONS crystal
La 0.5000 0.7500 0.2500
La 0.5000 0.2500 0.7500
La 0.0000 0.5000 0.5000
Pm 0.5046 0.2620 0.2620
Pm 0.4954 0.7573 0.7573
Pm 0.0000 0.7380 0.2427
Pm 0.0000 0.2427 0.7380
Pm 0.2488 0.3747 0.3747
Pm 0.7512 0.1260 0.1260
Pm 0.0000 0.6253 0.8740
Pm 0.0000 0.8740 0.6253
In 0.0000 0.0000 0.0000

! GdY3Ru (GGA-PBE, relaxed); values from VASP
! V = 158 Å³/f.u.
! Magnetic moment = 7.84 μB/f.u.
! Raw total energy = -8.625 eV per atom
! Mass density = 5.5 g/cm3
! Formation energy from the elements = -75 meV/atom
! DOS(E_F) = 8.86 states/eV/f.u.
&SYSTEM
  ibrav = 0, nat = 5, ntyp = 3
/
ATOMIC_SPECIES
Y 88.91 Y.upf
Ru 101.07 Ru.upf
Gd 157.25 Gd.upf
CELL_PARAMETERS angstrom
5.4090 0.0000 0.0000
0.0000 5.4090 0.0000
0.0000 0.0000 5.4090
ATOMIC_POSITIONS crystal
Y 0.0000 0.5000 0.0000
Y 0.0000 0.0000 0.5000
Y 0.5000 0.0000 0.0000
Ru 0.0000 0.0000 0.0000
Gd 0.5000 0.5000 0.5000

! TaFe2CuMo (GGA-PBE, relaxed); values from VASP
! V = 88 Å³/f.u.
! Magnetic moment = 3.58 μB/f.u.
! Raw total energy = -6.983 eV per atom
! Mass density = 8.5 g/cm3
! Formation energy from the elements = 1759 meV/atom
! DOS(E_F) = 4.79 states/eV/f.u.
&SYSTEM
  ibrav = 0, nat = 5, ntyp = 4
/
ATOMIC_SPECIES
Mo 95.94 Mo.upf
Fe 55.84 Fe.upf
Cu 63.55 Cu.upf
Ta 180.95 Ta.upf
CELL_PARAMETERS angstrom
-2.2389 -1.3467 -3.5049
3.3483 -3.0231 -0.9773
-2.0104 -3.0165 2.4433
ATOMIC_POSITIONS crystal
Mo 0.5000 0.5000 0.5000
Fe 0.0000 0.0000 0.5000
Fe 0.5000 0.0000 0.0000
Cu 0.0000 0.5000 0.0000
Ta 0.0000 0.0000 0.0000

! FeBiHRh2 (GGA-PBE, relaxed); values from VASP
! V = 67 Å³/f.u.
! Magnetic moment = 2.76 μB/f.u.
! Raw total energy = -6.004 eV per atom
! Mass density = 11.8 g/cm3
! DOS(E_F) = 4.76 states/eV/f.u.
&SYSTEM
  ibrav = 0, nat = 5, ntyp = 4
/
ATOMIC_SPECIES
H 1.01 H.upf
Rh 102.91 Rh.upf
Bi 208.98 Bi.upf
Fe 55.84 Fe.upf
CELL_PARAMETERS angstrom
4.0543 0.0000 0.0000
0.0000 4.0543 0.0000
0.0000 0.0000 4.0542
ATOMIC_POSITIONS crystal
H 0.0000 0.0000 0.0000
Rh 0.0000 0.5000 0.0000
Rh 0.5000 0.0000 0.0000
Bi 0.5000 0.5000 0.5000
Fe 0.0000 0.0000 0.5000

What did the second record say?
! Y2Ho3Th (GGA-PBE, relaxed); values from VASP
! V = 191 Å³/f.u.
! Magnetic moment = 0.00 μB/f.u.
! Distance to the lowest polymorph of the same formula = 0 meV/atom
! Raw total energy = -5.642 eV per atom
! Mass density = 7.9 g/cm3
! Formation energy from the elements = 38 meV/atom
! DOS(E_F) = 9.25 states/eV/f.u.
&SYSTEM
  ibrav = 0, nat = 12, ntyp = 3
/
ATOMIC_SPECIES
Y 88.91 Y.upf
Ho 164.93 Ho.upf
Th 232.04 Th.upf
CELL_PARAMETERS angstrom
-1.9766 4.3057 1.7093
-5.8043 -0.5048 1.9800
-7.1263 -6.5700 15.7294
ATOMIC_POSITIONS crystal
Y 0.8756 0.3761 0.8728
Y 0.1244 0.6239 0.1272
Y 0.6281 0.1170 0.6267
Y 0.3719 0.8830 0.3733
Ho 0.1233 0.9621 0.7912
Ho 0.8767 0.0379 0.2088
Ho 0.6240 0.7947 0.9572
Ho 0.3760 0.2053 0.0428
Ho 0.8728 0.7110 0.5434
Ho 0.1272 0.2890 0.4566
Th 0.3768 0.5376 0.7088
Th 0.6232 0.4624 0.2912